Material: NaSr2Cd
Method: DFT, PBE-GGA
State: relaxed

Calculated values
calculated total energy: -1.572 eV/atom
SG: P4/mmm (123)
formation energy: -172 meV per atom

a = 4.069 Å, b = 4.069 Å, c = 9.519 Å
α = 90.00°, β = 90.00°, γ = 90.00°
Fractional positions:
1 Na 0.000 0.000 0.000
2 Sr 0.500 0.500 0.290
3 Sr 0.500 0.500 0.710
4 Cd 0.000 0.000 0.500